Entry 1:
DFT (PBE-GGA) results for crystalline Zn2GaO at its relaxed geometry.

- Formation energy without anion corrections: 0.183 eV/atom

Cell lengths 4.371, 4.371, 4.371 Å; angles 60.00, 60.00, 60.00 degrees
Positions (direct):
Ga 0.500 0.500 0.500
O 0.000 0.000 0.000
Zn 0.750 0.750 0.750
Zn 0.250 0.250 0.250

=====

Entry 2:
DFT (PBE-GGA) results for crystalline Zn2GaO at its relaxed geometry.

- Formation energy without anion corrections: -0.468 eV/atom

Cell lengths 5.711, 5.711, 5.787 Å; angles 60.43, 60.43, 90.00 degrees
Positions (direct):
Zn 0.205 0.625 0.250
Zn 0.875 0.795 0.750
Zn 0.375 0.455 0.750
Zn 0.545 0.125 0.250
Ga 0.000 0.000 0.000
Ga 0.750 0.250 0.500
O 0.500 0.500 0.000
O 0.250 0.750 0.500

=====

Entry 3:
DFT (PBE-GGA) results for crystalline ZrGaO3 at its relaxed geometry.

- Formation energy without anion corrections: -1.911 eV/atom

Cell lengths 4.138, 4.138, 4.138 Å; angles 90.00, 90.00, 90.00 degrees
Positions (direct):
O 0.000 0.500 0.000
O 0.000 0.000 0.500
O 0.500 0.000 0.000
Ga 0.500 0.500 0.500
Zr 0.000 0.000 0.000

=====

Entry 4:
DFT (PBE-GGA) results for crystalline ZrGaO3 at its relaxed geometry.

- Formation energy without anion corrections: -1.717 eV/atom

Cell lengths 3.764, 3.764, 3.764 Å; angles 90.00, 90.00, 90.00 degrees
Positions (direct):
Ga 0.000 0.000 0.000
O 0.000 0.500 0.000
O 0.500 0.000 0.000
O 0.000 0.000 0.500
Zr 0.500 0.500 0.500

=====

no.,calculated volume (A^3/atom),density of states at the Fermi level (states/eV per atom)
1,14.8,1.25
2,16.9,0.22
3,14.2,0.67
4,10.7,0.52